[1]
The following is a PBE-GGA calculation of a geometry-optimized Pu2ThScSb4 structure, from Alexandria via LeMat-Bulk.

Properties
**Mass density**: 8.62 g/cm³
**Energy**: -8.135 eV/atom
**Formation energy (no corrections)**: -6.18 eV per formula unit

Cell: 4.4172 7.6205 7.6022 Å, 70.42 90.00 90.00°
Last column: nearest neighbours and their distance in Å.
Fractional coordinates of all 8 atoms:
Th1 0.5000 0.5000 0.0000  6 Sb 3.14-3.15
Pu1 0.5000 0.0000 0.5000  6 Sb 3.08
Sb1 0.5000 0.2592 0.7358  2 Sc 3.04, 3 Pu 3.08-3.19, 1 Th 3.14
Sb2 0.0000 0.2513 0.2615  1 Sc 3.03, 3 Pu 3.08-3.19, 2 Th 3.15
Sb3 0.5000 0.7408 0.2642  2 Sc 3.04, 3 Pu 3.08-3.19, 1 Th 3.14
Sb4 0.0000 0.7487 0.7385  1 Sc 3.03, 3 Pu 3.08-3.19, 2 Th 3.15
Sc1 0.0000 0.5000 0.5000  6 Sb 3.03-3.04
Pu2 0.0000 0.0000 0.0000  6 Sb 3.19


[2]
The following is a PBE-GGA calculation of a geometry-optimized CePr5Tl5 structure, from Alexandria via LeMat-Bulk.

Properties
**Mass density**: 8.52 g/cm³
**Energy**: -3.914 eV/atom

Cell: 6.0313 9.3317 6.8270 Å, 89.92 90.00 108.85°
Last column: nearest neighbours and their distance in Å.
Fractional coordinates of all 11 atoms:
Tl1 0.1621 0.3242 0.7414  2 Tl 3.29-3.53, 7 Pr 3.31-3.55, 1 Ce 3.36
Tl2 0.5000 0.0000 0.0000  2 Ce 3.02, 2 Pr 3.15
Ce1 0.0000 0.0000 0.0000  6 Tl 3.02-3.37
Tl3 0.8378 0.6756 0.7409  2 Tl 3.29-3.53, 7 Pr 3.30-3.54, 1 Ce 3.37
Pr1 0.0000 0.0000 0.5000  4 Tl 3.30-3.31, 2 Ce 3.41
Tl4 0.8379 0.6758 0.2586  2 Tl 3.29-3.53, 7 Pr 3.31-3.55, 1 Ce 3.36
Pr2 0.6785 0.3570 0.0013  7 Tl 3.15-3.51, 2 Pr 3.43
Tl5 0.1622 0.3244 0.2591  2 Tl 3.29-3.53, 7 Pr 3.30-3.54, 1 Ce 3.37
Pr3 0.3215 0.6430 0.9987  7 Tl 3.15-3.51, 2 Pr 3.43
Pr4 0.6599 0.3198 0.5013  2 Pr 3.43, 6 Tl 3.43-3.55
Pr5 0.3401 0.6802 0.4987  2 Pr 3.43, 6 Tl 3.43-3.55


[3]
The following is a PBE-GGA calculation of a geometry-optimized PuZn2Ag2O6 structure, from Alexandria via LeMat-Bulk.

Properties
**Mass density**: 7.48 g/cm³
**Energy**: -6.086 eV/atom
**Formation energy (no corrections)**: -14.62 eV per formula unit

Cell: 5.4176 5.4176 6.7737 Å, 105.06 105.06 117.57°
Last column: nearest neighbours and their distance in Å.
Fractional coordinates of all 11 atoms:
Zn1 0.3371 0.6629 0.5000  6 O 2.14-2.18
O1 0.4397 0.1100 0.6854  1 Pu 2.09, 2 Zn 2.14-2.18, 1 Ag 2.33
O2 0.5603 0.8900 0.3146  1 Pu 2.09, 2 Zn 2.14-2.18, 1 Ag 2.33
O3 0.8900 0.5603 0.3146  1 Pu 2.09, 2 Zn 2.14-2.18, 1 Ag 2.33
Pu1 0.0000 0.0000 0.5000  6 O 2.09-2.17
O4 0.1100 0.4397 0.6854  1 Pu 2.09, 2 Zn 2.14-2.18, 1 Ag 2.33
O5 0.2070 0.2070 0.3024  2 Zn 2.14, 1 Pu 2.17
Ag1 0.1833 0.8167 0.0000  4 O 2.33-2.46
Zn2 0.6629 0.3371 0.5000  6 O 2.14-2.18
Ag2 0.8167 0.1833 0.0000  4 O 2.33-2.46
O6 0.7930 0.7930 0.6976  2 Zn 2.14, 1 Pu 2.17


[4]
The following is a PBE-GGA calculation of a geometry-optimized Rb4H4Pd structure, from Alexandria via LeMat-Bulk.

Properties
**Mass density**: 2.54 g/cm³
**Energy**: -2.667 eV/atom

Cell: 4.4265 8.4699 8.4699 Å, 86.08 74.85 74.85°
Last column: nearest neighbours and their distance in Å.
Fractional coordinates of all 9 atoms:
Rb1 0.4495 0.8086 0.2924  4 H 3.02
Rb2 0.2581 0.2924 0.1914  4 H 3.02
H1 0.9206 0.2005 0.9583  1 Pd 1.67
Pd1 0.0000 0.0000 0.0000  4 H 1.67
H2 0.0794 0.7995 0.0417  1 Pd 1.67
H3 0.1211 0.9583 0.7995  1 Pd 1.67
Rb3 0.7419 0.7076 0.8086  4 H 3.02
Rb4 0.5505 0.1914 0.7076  4 H 3.02
H4 0.8789 0.0417 0.2005  1 Pd 1.67